[1]
{
  "formula": "YHf3Sc2N6",
  "functional": "PBE-GGA",
  "state": "optimized geometry",
  "lattice_angstrom": [[2.8099, -4.8590, 0.0000], [2.8099, 4.8590, 0.0000], [-1.8759, 0.0000, 5.3205]],
  "species": ["Y", "Hf", "Hf", "Hf", "Sc", "Sc", "N", "N", "N", "N", "N", "N"],
  "fractional_positions": [[0.0000, 0.0000, 0.0000], [0.1677, 0.8323, 0.5000], [0.5000, 0.5000, 0.5000], [0.8323, 0.1677, 0.5000], [0.3333, 0.6667, 0.0000], [0.6667, 0.3333, 0.0000], [0.0875, 0.4298, 0.2630], [0.2547, 0.2547, 0.7376], [0.4298, 0.0875, 0.2630], [0.5702, 0.9125, 0.7370], [0.7453, 0.7453, 0.2624], [0.9125, 0.5702, 0.7370]],
  "volume_a3_per_atom": 12.11,
  "dft_energy_ev_per_atom": -10.092,
  "sg": "C2/m"
}

***

[2]
{
  "formula": "Dy4Ho5Th4",
  "functional": "PBE-GGA",
  "state": "optimized geometry",
  "lattice_angstrom": [[-6.3981, 6.3981, 2.5153], [6.3981, -6.3981, 2.5153], [6.3981, 6.3981, -2.5153]],
  "species": ["Dy", "Dy", "Dy", "Dy", "Ho", "Ho", "Ho", "Ho", "Ho", "Th", "Th", "Th", "Th"],
  "fractional_positions": [[0.1528, 0.7674, 0.9202], [0.2326, 0.1528, 0.3855], [0.7674, 0.8472, 0.6145], [0.8472, 0.2326, 0.0798], [0.0000, 0.0000, 0.0000], [0.3059, 0.5386, 0.8445], [0.4614, 0.3059, 0.7673], [0.5386, 0.6941, 0.2327], [0.6941, 0.4614, 0.1555], [0.0757, 0.3863, 0.4620], [0.3863, 0.9243, 0.3106], [0.6137, 0.0757, 0.6894], [0.9243, 0.6137, 0.5380]],
  "volume_a3_per_atom": 31.68,
  "dft_energy_ev_per_atom": -5.428,
  "e_form_mev_per_atom": 31,
  "sg": "I4/m"
}

***

[3]
{
  "formula": "Ac2Pm7Er2",
  "functional": "PBE-GGA",
  "state": "optimized geometry",
  "lattice_angstrom": [[5.7510, -5.9343, 0.0000], [5.7510, 5.9343, 0.0000], [-2.5325, 0.0000, 5.8013]],
  "species": ["Ac", "Ac", "Pm", "Pm", "Pm", "Pm", "Pm", "Pm", "Pm", "Er", "Er"],
  "fractional_positions": [[0.0977, 0.0977, 0.3148], [0.9023, 0.9023, 0.6852], [0.0820, 0.5662, 0.3145], [0.2783, 0.2783, 0.9327], [0.4338, 0.9180, 0.6855], [0.5000, 0.5000, 0.5000], [0.5662, 0.0820, 0.3145], [0.7217, 0.7217, 0.0673], [0.9180, 0.4338, 0.6855], [0.2872, 0.7128, 0.0000], [0.7128, 0.2872, 0.0000]],
  "volume_a3_per_atom": 36.00,
  "dft_energy_ev_per_atom": -4.463,
  "e_form_mev_per_atom": 136,
  "sg": "C2/m"
}

***

[4]
{
  "formula": "BaCoP2",
  "functional": "PBE-GGA",
  "state": "optimized geometry",
  "lattice_angstrom": [[3.6637, -1.9617, 0.0000], [3.6637, 1.9617, 0.0000], [-1.3466, 0.0000, 5.9089]],
  "species": ["Ba", "Co", "P", "P"],
  "fractional_positions": [[0.0000, 0.0000, 0.0000], [0.2850, 0.2850, 0.5509], [0.6016, 0.6016, 0.6361], [0.7692, 0.7692, 0.3827]],
  "volume_a3_per_atom": 21.23,
  "dft_energy_ev_per_atom": -5.494,
  "e_form_mev_per_atom": -532,
  "sg": "Cm"
}

***

[5]
{
  "formula": "ScCoSi2",
  "functional": "PBE-GGA",
  "state": "optimized geometry",
  "lattice_angstrom": [[-1.9452, 4.1016, 7.4072], [1.9452, -4.1016, 7.4072], [1.9452, 4.1016, -7.4072]],
  "species": ["Sc", "Sc", "Sc", "Sc", "Co", "Co", "Co", "Co", "Si", "Si", "Si", "Si", "Si", "Si", "Si", "Si"],
  "fractional_positions": [[0.2066, 0.2066, 0.0000], [0.2381, 0.0000, 0.2381], [0.7619, 0.0000, 0.7619], [0.7934, 0.7934, 0.0000], [0.1037, 0.3548, 0.7490], [0.3942, 0.6452, 0.7490], [0.6058, 0.3548, 0.2510], [0.8963, 0.6452, 0.2510], [0.0780, 0.5780, 0.5000], [0.1413, 0.8005, 0.3408], [0.4162, 0.4162, 0.0000], [0.4597, 0.8005, 0.6592], [0.5403, 0.1995, 0.3408], [0.5838, 0.5838, 0.0000], [0.8587, 0.1995, 0.6592], [0.9220, 0.4220, 0.5000]],
  "volume_a3_per_atom": 14.77,
  "dft_energy_ev_per_atom": -6.802,
  "sg": "Immm"
}

***

[6]
{
  "formula": "KCdIr2",
  "functional": "PBE-GGA",
  "state": "optimized geometry",
  "lattice_angstrom": [[-1.3899, 2.7030, 5.6454], [1.3899, -2.7030, 5.6454], [1.3899, 2.7030, -5.6454]],
  "species": ["K", "Cd", "Ir", "Ir"],
  "fractional_positions": [[0.0000, 0.0000, 0.0000], [0.3010, 0.8010, 0.5000], [0.5261, 0.5261, 0.0000], [0.7122, 0.2122, 0.5000]],
  "volume_a3_per_atom": 21.21,
  "dft_energy_ev_per_atom": -4.385,
  "e_form_mev_per_atom": 549,
  "sg": "Imm2"
}

***

[7]
{
  "formula": "HoThGaPb",
  "functional": "PBE-GGA",
  "state": "optimized geometry",
  "lattice_angstrom": [[0.0000, 3.7806, 3.7806], [3.7806, 0.0000, 3.7806], [3.7806, 3.7806, 0.0000]],
  "species": ["Ho", "Th", "Ga", "Pb"],
  "fractional_positions": [[0.0000, 0.0000, 0.0000], [0.5000, 0.5000, 0.5000], [0.2500, 0.2500, 0.2500], [0.7500, 0.7500, 0.7500]],
  "volume_a3_per_atom": 27.02,
  "dft_energy_ev_per_atom": -4.989,
  "e_form_mev_per_atom": -305,
  "sg": "F-43m"
}

***

[8]
{
  "formula": "La2YTl3",
  "functional": "PBE-GGA",
  "state": "optimized geometry",
  "lattice_angstrom": [[1.9185, -14.7709, 0.0000], [1.9185, 14.7709, 0.0000], [0.0000, 0.0000, 6.8481]],
  "species": ["La", "La", "La", "La", "Y", "Y", "Tl", "Tl", "Tl", "Tl", "Tl", "Tl"],
  "fractional_positions": [[0.0066, 0.9934, 0.7500], [0.1567, 0.8433, 0.2500], [0.8433, 0.1567, 0.7500], [0.9934, 0.0066, 0.2500], [0.3339, 0.6661, 0.2500], [0.6661, 0.3339, 0.7500], [0.2508, 0.7492, 0.7500], [0.4215, 0.5785, 0.5138], [0.4215, 0.5785, 0.9862], [0.5785, 0.4215, 0.0138], [0.5785, 0.4215, 0.4862], [0.7492, 0.2508, 0.2500]],
  "volume_a3_per_atom": 32.34,
  "dft_energy_ev_per_atom": -4.163,
  "e_form_mev_per_atom": -260,
  "sg": "Cmcm"
}

***

[9]
{
  "formula": "TcAg3Pd",
  "functional": "PBE-GGA",
  "state": "optimized geometry",
  "lattice_angstrom": [[4.9941, 0.0000, 0.0000], [0.0000, 4.9941, 0.0000], [0.0000, 0.0000, 4.9941]],
  "species": ["Tc", "Ag", "Ag", "Ag", "Pd"],
  "fractional_positions": [[0.0000, 0.0000, 0.0000], [0.0000, 0.5000, 0.5000], [0.5000, 0.0000, 0.5000], [0.5000, 0.5000, 0.0000], [0.5000, 0.5000, 0.5000]],
  "volume_a3_per_atom": 24.91,
  "dft_energy_ev_per_atom": -3.426,
  "e_form_mev_per_atom": 1397,
  "sg": "Pm-3m"
}

***

[10]
{
  "formula": "ZnCuNi2",
  "functional": "PBE-GGA",
  "state": "optimized geometry",
  "lattice_angstrom": [[-1.8561, 1.8561, 3.3960], [1.8561, -1.8561, 3.3960], [1.8561, 1.8561, -3.3960]],
  "species": ["Zn", "Cu", "Ni", "Ni"],
  "fractional_positions": [[0.0000, 0.0000, 0.0000], [0.5000, 0.5000, 0.0000], [0.2500, 0.7500, 0.5000], [0.7500, 0.2500, 0.5000]],
  "volume_a3_per_atom": 11.70,
  "dft_energy_ev_per_atom": -4.349,
  "e_form_mev_per_atom": -116,
  "sg": "I4/mmm"
}

***

[11]
{
  "formula": "InOsW",
  "functional": "PBE-GGA",
  "state": "optimized geometry",
  "lattice_angstrom": [[0.0000, 3.0841, 3.0841], [3.0841, 0.0000, 3.0841], [3.0841, 3.0841, 0.0000]],
  "species": ["In", "Os", "W"],
  "fractional_positions": [[0.0000, 0.0000, 0.0000], [0.7500, 0.7500, 0.7500], [0.5000, 0.5000, 0.5000]],
  "volume_a3_per_atom": 19.56,
  "dft_energy_ev_per_atom": -8.455,
  "e_form_mev_per_atom": 519,
  "sg": "F-43m"
}

***

[12]
{
  "formula": "TiGe2B2",
  "functional": "PBE-GGA",
  "state": "optimized geometry",
  "lattice_angstrom": [[6.4516, 0.0000, 0.0000], [0.0000, 6.4516, 0.0000], [0.0000, 0.0000, 3.0839]],
  "species": ["Ti", "Ti", "Ge", "Ge", "Ge", "Ge", "B", "B", "B", "B"],
  "fractional_positions": [[0.0000, 0.0000, 0.0000], [0.5000, 0.5000, 0.0000], [0.1386, 0.3614, 0.0000], [0.3614, 0.8614, 0.0000], [0.6386, 0.1386, 0.0000], [0.8614, 0.6386, 0.0000], [0.1557, 0.6557, 0.5000], [0.3443, 0.1557, 0.5000], [0.6557, 0.8443, 0.5000], [0.8443, 0.3443, 0.5000]],
  "volume_a3_per_atom": 12.84,
  "dft_energy_ev_per_atom": -5.291,
  "e_form_mev_per_atom": 805,
  "sg": "P4/mbm"
}

***

[13]
{
  "formula": "SrAsSe",
  "functional": "PBE-GGA",
  "state": "optimized geometry",
  "lattice_angstrom": [[-1.9614, 2.2190, 5.4046], [1.9614, -2.2190, 5.4046], [1.9614, 2.2190, -5.4046]],
  "species": ["Sr", "As", "Se"],
  "fractional_positions": [[0.0000, 0.0000, 0.0000], [0.3776, 0.3776, 0.0000], [0.6029, 0.6029, 0.0000]],
  "volume_a3_per_atom": 31.36,
  "dft_energy_ev_per_atom": -4.133,
  "sg": "Imm2"
}

***

[14]
{
  "formula": "TlVRuCl6",
  "functional": "PBE-GGA",
  "state": "optimized geometry",
  "lattice_angstrom": [[6.2471, 0.0000, 0.0000], [-3.1236, 5.4102, 0.0000], [0.0000, 0.0000, 7.2833]],
  "species": ["Tl", "V", "Ru", "Cl", "Cl", "Cl", "Cl", "Cl", "Cl"],
  "fractional_positions": [[0.0000, 0.0000, 0.0000], [0.3333, 0.6667, 0.5000], [0.6667, 0.3333, 0.5000], [0.3663, 0.0030, 0.6867], [0.3663, 0.3633, 0.3133], [0.6367, 0.0030, 0.3133], [0.6367, 0.6337, 0.6867], [0.9970, 0.3633, 0.6867], [0.9970, 0.6337, 0.3133]],
  "volume_a3_per_atom": 27.35,
  "dft_energy_ev_per_atom": -4.412,
  "sg": "P312"
}

***

[15]
{
  "formula": "Pu2MgInO8",
  "functional": "PBE-GGA",
  "state": "optimized geometry",
  "lattice_angstrom": [[-2.6117, 2.6117, 5.2627], [2.6117, -2.6117, 5.2627], [2.6117, 2.6117, -5.2627]],
  "species": ["Pu", "Pu", "Mg", "In", "O", "O", "O", "O", "O", "O", "O", "O"],
  "fractional_positions": [[0.0000, 0.0000, 0.0000], [0.7500, 0.2500, 0.5000], [0.5000, 0.5000, 0.0000], [0.2500, 0.7500, 0.5000], [0.0917, 0.0802, 0.4554], [0.1313, 0.6126, 0.9570], [0.3636, 0.9083, 0.9884], [0.3874, 0.3444, 0.5187], [0.6248, 0.6364, 0.5446], [0.6556, 0.1743, 0.0430], [0.8257, 0.8687, 0.4813], [0.9198, 0.3752, 0.0116]],
  "volume_a3_per_atom": 11.97,
  "dft_energy_ev_per_atom": -8.347,
  "sg": "I-4"
}

***

[16]
{
  "formula": "Er3Zn2Ge4",
  "functional": "PBE-GGA",
  "state": "optimized geometry",
  "lattice_angstrom": [[5.3417, -2.1302, 0.0000], [5.3417, 2.1302, 0.0000], [-1.9214, 0.0000, 7.9378]],
  "species": ["Er", "Er", "Er", "Zn", "Zn", "Ge", "Ge", "Ge", "Ge"],
  "fractional_positions": [[0.0000, 0.0000, 0.0000], [0.3362, 0.3362, 0.3276], [0.6638, 0.6638, 0.6724], [0.3899, 0.3899, 0.7195], [0.6101, 0.6101, 0.2805], [0.0639, 0.0639, 0.3895], [0.2866, 0.2866, 0.9489], [0.7134, 0.7134, 0.0511], [0.9361, 0.9361, 0.6105]],
  "volume_a3_per_atom": 20.07,
  "dft_energy_ev_per_atom": -4.422,
  "e_form_mev_per_atom": -566,
  "sg": "C2/m"
}

***

[17]
{
  "formula": "LaTb2ThHg4",
  "functional": "PBE-GGA",
  "state": "optimized geometry",
  "lattice_angstrom": [[2.6911, 1.5537, 8.8175], [-2.6911, 1.5537, 8.8175], [0.0000, -3.1074, 8.8175]],
  "species": ["La", "Tb", "Tb", "Th", "Hg", "Hg", "Hg", "Hg"],
  "fractional_positions": [[0.0000, 0.0000, 0.0000], [0.2485, 0.2485, 0.2485], [0.7515, 0.7515, 0.7515], [0.5000, 0.5000, 0.5000], [0.1253, 0.1253, 0.1253], [0.3758, 0.3758, 0.3758], [0.6242, 0.6242, 0.6242], [0.8747, 0.8747, 0.8747]],
  "volume_a3_per_atom": 27.65,
  "dft_energy_ev_per_atom": -3.249,
  "e_form_mev_per_atom": -397,
  "sg": "R-3m"
}

***

[18]
{
  "formula": "LaEr4Lu",
  "functional": "PBE-GGA",
  "state": "optimized geometry",
  "lattice_angstrom": [[0.0000, 4.6378, 4.6378], [4.6378, 0.0000, 4.6378], [4.6378, 4.6378, 0.0000]],
  "species": ["La", "Er", "Er", "Er", "Er", "Lu"],
  "fractional_positions": [[0.0000, 0.0000, 0.0000], [0.3754, 0.3754, 0.3754], [0.3754, 0.3754, 0.8737], [0.3754, 0.8737, 0.3754], [0.8737, 0.3754, 0.3754], [0.7500, 0.7500, 0.7500]],
  "volume_a3_per_atom": 33.25,
  "dft_energy_ev_per_atom": -4.347,
  "e_form_mev_per_atom": 269,
  "sg": "F-43m"
}

***

[19]
{
  "formula": "LaAuS2",
  "functional": "PBE-GGA",
  "state": "optimized geometry",
  "lattice_angstrom": [[-3.3921, 3.3921, 3.6615], [3.3921, -3.3921, 3.6615], [3.3921, 3.3921, -3.6615]],
  "species": ["La", "La", "Au", "Au", "S", "S", "S", "S"],
  "fractional_positions": [[0.2500, 0.2500, 0.0000], [0.7500, 0.7500, 0.0000], [0.2500, 0.7500, 0.5000], [0.7500, 0.2500, 0.5000], [0.1888, 0.6888, 0.8775], [0.3112, 0.1888, 0.5000], [0.6888, 0.8112, 0.5000], [0.8112, 0.3112, 0.1225]],
  "volume_a3_per_atom": 21.07,
  "dft_energy_ev_per_atom": -5.290,
  "sg": "I4/mcm"
}

***

[20]
{
  "formula": "Pm2GeSe5",
  "functional": "PBE-GGA",
  "state": "optimized geometry",
  "lattice_angstrom": [[2.9143, -7.2645, 0.0000], [2.9143, 7.2645, 0.0000], [0.0000, 0.0000, 12.9247]],
  "species": ["Pm", "Pm", "Pm", "Pm", "Ge", "Ge", "Se", "Se", "Se", "Se", "Se", "Se", "Se", "Se", "Se", "Se"],
  "fractional_positions": [[0.1698, 0.8302, 0.5746], [0.1698, 0.8302, 0.9254], [0.8302, 0.1698, 0.0746], [0.8302, 0.1698, 0.4254], [0.1914, 0.8086, 0.2500], [0.8086, 0.1914, 0.7500], [0.0284, 0.9716, 0.0906], [0.0284, 0.9716, 0.4094], [0.2900, 0.7100, 0.7500], [0.3038, 0.6962, 0.0946], [0.3038, 0.6962, 0.4054], [0.6962, 0.3038, 0.5946], [0.6962, 0.3038, 0.9054], [0.7100, 0.2900, 0.2500], [0.9716, 0.0284, 0.5906], [0.9716, 0.0284, 0.9094]],
  "volume_a3_per_atom": 34.20,
  "dft_energy_ev_per_atom": -5.062,
  "sg": "Cmcm"
}